Tm2ScBi2 after structural relaxation. Source: Alexandria via LeMat-Bulk, functional GGA-PBE.

The structure belongs to space group Cmcm (No. 63); the cell edges are 4.9775, 17.5416 and 6.3317 Å and the angles 90.00°, 90.00° and 90.00°. The asymmetric unit holds Tm at (0.0000, 0.0000, 0.0000), Tm at (0.0000, 0.1953, 0.2500), Sc at (0.0000, 0.4035, 0.2500), Bi at (0.0000, 0.1857, 0.7500) and Bi at (0.0000, 0.4190, 0.7500).

As for the mass density: 9.621 g/cm³. The calculated volume comes out at 553 Å³/cell.

=====

TmSc5Bi6 after structural relaxation. Source: Alexandria via LeMat-Bulk, functional GGA-PBE.

The structure belongs to space group C2/m (No. 12); the cell edges are 7.4359, 12.8862 and 7.4417 Å and the angles 90.00°, 109.48° and 90.00°. The asymmetric unit holds Tm at (0.0000, 0.0000, 0.0000), Sc at (0.0000, 0.1632, 0.5000), Sc at (0.0000, 0.3320, 0.0000), Sc at (0.0000, 0.5000, 0.5000), Bi at (0.2431, 0.5000, 0.2514) and Bi at (0.2447, 0.3301, 0.7449).

As for the mass density: 8.140 g/cm³. The calculated volume comes out at 672 Å³/cell.

=====

Tm4ScBi5 after structural relaxation. Source: Alexandria via LeMat-Bulk, functional GGA-PBE.

The structure belongs to space group I4/m (No. 87); the cell edges are 9.8420, 9.8420 and 6.2325 Å and the angles 90.00°, 90.00° and 90.00°. The asymmetric unit holds Tm at (0.0970, 0.6990, 0.0000), Sc at (0.0000, 0.0000, 0.5000), Bi at (0.0000, 0.0000, 0.0000) and Bi at (0.0990, 0.7064, 0.5000).

As for the mass density: 9.713 g/cm³. The calculated volume comes out at 604 Å³/cell.

=====

TmSc3Bi2 after structural relaxation. Source: Alexandria via LeMat-Bulk, functional GGA-PBE.

The structure belongs to space group C2/m (No. 12); the cell edges are 17.6575, 4.2840 and 9.1104 Å and the angles 90.00°, 112.88° and 90.00°. The asymmetric unit holds Tm at (0.1110, 0.0000, 0.1130), Sc at (0.0648, 0.0000, 0.6745), Sc at (0.1407, 0.5000, 0.4892), Sc at (0.1911, 0.5000, 0.8969), Bi at (0.0087, 0.5000, 0.8276) and Bi at (0.2500, 0.0000, 0.7153).

As for the mass density: 7.551 g/cm³. For the offset from the most stable computed form, the calculation gives 0.092 eV per atom. The calculated volume comes out at 635 Å³/cell.

=====

| no. | final energy (eV/atom) |
| --- | --- |
| 1 | -5.16 |
| 2 | -5.63 |
| 3 | -5.11 |
| 4 | -5.62 |